No. 1
Below is a relaxed structure of Pr3Sn2Ge, with properties calculated at the PBE-GGA level.

Output
Crystal system = orthorhombic
Formation enthalpy at 0 K = -0.703 eV/atom
Space group = Pnma (62)

The structure in POSCAR format:
```
Pr3Sn2Ge
1.0
-3.1095 3.2038 0.3300
-3.9891 -2.6962 -11.4115
-8.2832 -8.5455 4.9146
Pr Sn Ge
12 8 4
direct
0.2500 0.3807 0.0534
0.7500 0.6193 0.9466
0.7500 0.8807 0.4466
0.2500 0.1193 0.5534
0.2500 0.7116 0.2287
0.7500 0.2884 0.7713
0.7500 0.2116 0.2713
0.2500 0.7884 0.7287
0.2500 0.4485 0.3857
0.7500 0.5515 0.6143
0.7500 0.9485 0.1143
0.2500 0.0515 0.8857
0.2500 0.7005 0.4967
0.7500 0.2995 0.5033
0.7500 0.2005 0.0033
0.2500 0.7995 0.9967
0.2500 0.9967 0.3079
0.7500 0.0033 0.6921
0.7500 0.4967 0.1921
0.2500 0.5033 0.8079
0.2500 0.1293 0.1278
0.7500 0.8707 0.8722
0.7500 0.6293 0.3722
0.2500 0.3707 0.6278
```

No. 2
Below is a relaxed structure of VAgS2, with properties calculated at the PBE-GGA level.

Output
Crystal system = tetragonal
Energy relative to the elements, uncorrected = -1.0 eV per formula unit
Space group = P4/mmm (123)

The structure in POSCAR format:
```
VAgS2
1.0
3.6845 0.0000 0.0000
0.0000 3.6845 0.0000
0.0000 0.0000 5.1436
S Ag V
2 1 1
direct
0.5000 0.5000 0.5000
0.0000 0.0000 0.0000
0.5000 0.5000 0.0000
0.0000 0.0000 0.5000
```

No. 3
Below is a relaxed structure of Sb2Te4Pb, with properties calculated at the PBE-GGA level.

Output
Crystal system = trigonal
Energy relative to the elements, uncorrected = -1.4 eV per formula unit
Space group = R-3m (166)

The structure in POSCAR format:
```
Sb2Te4Pb
1.0
14.5237 0.0334 0.0196
13.8448 4.3889 0.0196
13.8448 2.1582 3.8216
Pb Sb Te
1 2 4
direct
0.0000 0.0000 0.0000
0.5741 0.5741 0.5741
0.4259 0.4259 0.4259
0.8690 0.8690 0.8690
0.1310 0.1310 0.1310
0.7135 0.7135 0.7135
0.2865 0.2865 0.2865
```

No. 4
Below is a relaxed structure of MgPbCl6, with properties calculated at the PBE-GGA level.

Output
Crystal system = monoclinic
Energy relative to the elements, uncorrected = -8.1 eV per formula unit
Space group = C2/m (12)

The structure in POSCAR format:
```
MgPbCl6
1.0
-0.9269 -5.8477 2.3938
6.4286 1.1540 2.5350
-5.9082 3.0022 2.2728
Mg Pb Cl
1 1 6
direct
0.5000 0.5000 0.5000
0.0000 0.0000 0.0000
0.7411 0.6026 0.8824
0.7411 0.8824 0.6026
0.2589 0.1176 0.3974
0.2589 0.3974 0.1176
0.7548 0.2473 0.2473
0.2452 0.7527 0.7527
```